Entry 1:
First-principles (PBEsol) data for a relaxed structure of V2P2O7, as listed in Alexandria via LeMat-Bulk.

Results
Formation energy (no corrections) = -2.012 eV/atom
Total DFT energy (no corrections) = -8.1573 eV per atom
Calculated volume = 10.801 A^3/atom

Cell: 4.4209 10.1715 5.3197 Å, 90.00 96.63 90.00°
Last column: nearest neighbours and their distance in Å.
Sites, in units of the cell vectors:
V 0.0978 0.1567 0.4220  6 O 2.09-2.18
V 0.0978 0.3433 0.9220  6 O 2.09-2.18
V 0.9022 0.6567 0.0780  6 O 2.09-2.18
V 0.9022 0.8433 0.5780  6 O 2.09-2.18
P 0.3551 0.6118 0.6505  4 O 1.53-1.57
P 0.3551 0.8882 0.1505  4 O 1.53-1.57
P 0.6449 0.1118 0.8495  4 O 1.53-1.57
P 0.6449 0.3882 0.3495  4 O 1.53-1.57
O 0.1147 0.6753 0.4569  1 P 1.53
O 0.1147 0.8247 0.9569  1 P 1.53
O 0.2104 0.5453 0.8670  1 P 1.54
O 0.2104 0.9547 0.3670  1 P 1.54
O 0.3838 0.2043 0.7516  1 P 1.53
O 0.3838 0.2957 0.2516  1 P 1.53
O 0.5000 0.0000 0.0000  2 P 1.57
O 0.5000 0.5000 0.5000  2 P 1.57
O 0.6162 0.7043 0.7484  1 P 1.53
O 0.6162 0.7957 0.2484  1 P 1.53
O 0.7896 0.0453 0.6330  1 P 1.54
O 0.7896 0.4547 0.1330  1 P 1.54
O 0.8853 0.1753 0.0431  1 P 1.53
O 0.8853 0.3247 0.5431  1 P 1.53

Entry 2:
First-principles (PBEsol) data for a relaxed structure of Ta6Mo, as listed in Alexandria via LeMat-Bulk.

Results
Total DFT energy (no corrections) = -12.4670 eV per atom
Calculated formation energy = -3 kJ/mol of atoms
Calculated volume = 17.224 A^3/atom

Cell: 16.1564 16.0683 2.8387 Å, 86.72 83.18 10.10°
Last column: nearest neighbours and their distance in Å.
Sites, in units of the cell vectors:
Ta 0.0679 0.0679 0.9321  2 Mo 2.71, 6 Ta 2.84
Ta 0.2137 0.2137 0.7863  8 Ta 2.83-2.84
Ta 0.3591 0.3591 0.6409  8 Ta 2.83-2.84
Ta 0.6409 0.6409 0.3591  8 Ta 2.83-2.84
Ta 0.7863 0.7863 0.2137  8 Ta 2.83-2.84
Ta 0.9321 0.9321 0.0679  2 Mo 2.71, 6 Ta 2.84
Mo 0.5000 0.5000 0.5000  4 Ta 2.71, 4 Mo 2.84

The highest total DFT energy (no corrections) belongs to which entry? V2P2O7